(1)
Entry from Alexandria via LeMat-Bulk: an optimized crystal structure of PrNd6Dy2Th (PBE-GGA).

Calculated values
Crystal system   monoclinic
E_form   0.14 eV per atom
Spin magnetization   0.000 μB/atom
DOS(E_F)   59.02 states/eV/cell

CIF file:
```
data_PrNd6Dy2Th
_chemical_formula_sum 'Pr4 Nd24 Dy8 Th4'
_cell_length_a 9.3747
_cell_length_b 15.0965
_cell_length_c 9.9140
_cell_angle_alpha 90.00
_cell_angle_beta 98.78
_cell_angle_gamma 90.00
_space_group_name_H-M_alt 'C 1 2/c 1'
_space_group_IT_number 15
loop_
_space_group_symop_operation_xyz
'x,y,z'
'-x,-y,-z'
'-x,y,-z+1/2'
'x,-y,z+1/2'
'x+1/2,y+1/2,z'
'-x+1/2,-y+1/2,-z'
'-x+1/2,y+1/2,-z+1/2'
'x+1/2,-y+1/2,z+1/2'
loop_
_atom_site_label
_atom_site_type_symbol
_atom_site_fract_x
_atom_site_fract_y
_atom_site_fract_z
Pr1 Pr 0.0000 0.0966 0.2500
Nd1 Nd 0.0687 0.3247 0.4426
Nd2 Nd 0.0956 0.1048 0.6204
Nd3 Nd 0.2024 0.2801 0.8158
Dy1 Dy 0.2394 0.4552 0.0497
Th1 Th 0.0000 0.4718 0.7500
```



(2)
Entry from Alexandria via LeMat-Bulk: an optimized crystal structure of CeTm2Ge (PBE-GGA).

Calculated values
Crystal system   tetragonal
E_form   -0.32 eV per atom
Spin magnetization   0.000 μB/atom
DOS(E_F)   5.90 states/eV/cell

CIF file:
```
data_CeTm2Ge
_chemical_formula_sum 'Ce1 Tm2 Ge1'
_cell_length_a 4.6806
_cell_length_b 4.6806
_cell_length_c 4.4629
_cell_angle_alpha 90.00
_cell_angle_beta 90.00
_cell_angle_gamma 90.00
_space_group_name_H-M_alt 'P 4/m m m'
_space_group_IT_number 123
_space_group_name_Hall '-P 4 2'
loop_
_atom_site_label
_atom_site_type_symbol
_atom_site_fract_x
_atom_site_fract_y
_atom_site_fract_z
Ce1 Ce 0.0000 0.0000 0.0000
Tm1 Tm 0.0000 0.5000 0.5000
Ge1 Ge 0.5000 0.5000 0.0000
```